Computed, not measured: TiNi2AsBr after structural relaxation at the PBE-GGA level of DFT.

E_form (uncorrected): 265 meV/atom
E: -24.456 eV/f.u.

abc: 4.383 4.984 4.383
angles: 90.00 90.00 90.00
Fractional coordinates of all 5 atoms:
Ni  0.000  0.000  0.500
Ni  0.500  0.000  0.000
Br  0.500  0.500  0.500
Ti  0.000  0.500  0.000
As  0.000  0.000  0.000



Computed, not measured: Hg3SBr3 after structural relaxation at the PBE-GGA level of DFT.

E_form (uncorrected): -218 meV/atom
E: -11.578 eV/f.u.

abc: 6.816 9.388 9.383
angles: 120.11 90.00 90.00
Fractional coordinates of all 14 atoms:
Br  0.750  0.312  0.157
Hg  0.750  0.181  0.820
Br  0.250  0.156  0.312
S  0.750  0.333  0.667
Br  0.750  0.844  0.156
Br  0.250  0.156  0.844
Hg  0.750  0.181  0.362
Br  0.250  0.688  0.843
Hg  0.750  0.638  0.818
S  0.250  0.667  0.333
Hg  0.250  0.362  0.182
Hg  0.250  0.819  0.180
Br  0.750  0.844  0.688
Hg  0.250  0.819  0.638



Computed, not measured: Pr3Er2Tm4 after structural relaxation at the PBE-GGA level of DFT.

Distance to the lowest polymorph of the same formula: 0.000 eV per atom
Formation energy: 0.026 eV/atom
E: -41.117 eV/f.u.

abc: 6.158 7.957 6.196
angles: 104.80 80.32 97.15
Fractional coordinates of all 9 atoms:
Pr  0.000  0.000  0.000
Tm  0.226  0.448  0.112
Er  0.665  0.334  0.332
Tm  0.554  0.112  0.778
Er  0.335  0.666  0.668
Pr  0.111  0.225  0.558
Tm  0.774  0.552  0.888
Tm  0.446  0.888  0.222
Pr  0.889  0.775  0.442



Computed, not measured: Sr2CeBeS5 after structural relaxation at the PBE-GGA level of DFT.

E_form (uncorrected): -1733 meV/atom
E: -49.256 eV/f.u.

abc: 4.001 8.830 12.467
angles: 90.00 90.00 103.09
Fractional coordinates of all 18 atoms:
Ce  0.806  0.613  0.529
S  0.683  0.365  0.877
S  0.499  0.998  0.274
Sr  0.888  0.777  0.188
S  0.962  0.924  0.503
S  0.652  0.304  0.516
Sr  0.115  0.230  0.342
S  0.038  0.076  0.003
S  0.348  0.696  0.016
S  0.300  0.601  0.678
Sr  0.112  0.223  0.688
S  0.700  0.399  0.178
S  0.501  0.002  0.774
S  0.317  0.635  0.377
Be  0.560  0.120  0.916
Be  0.440  0.880  0.416
Ce  0.194  0.387  0.029
Sr  0.885  0.770  0.842



Computed, not measured: Na2CuSbTe after structural relaxation at the PBE-GGA level of DFT.

E_form (uncorrected): 346 meV/atom
E: -12.269 eV/f.u.

abc: 5.613 6.036 5.613
angles: 90.00 90.00 90.00
Fractional coordinates of all 5 atoms:
Sb  0.000  0.500  0.000
Te  0.000  0.000  0.000
Na  0.500  0.000  0.000
Na  0.000  0.000  0.500
Cu  0.500  0.500  0.500



Computed, not measured: AlBTe3 after structural relaxation at the PBE-GGA level of DFT.

Distance to the lowest polymorph of the same formula: 0.000 eV per atom
E_form (uncorrected): 653 meV/atom
E: -16.580 eV/f.u.

abc: 4.905 4.905 4.905
angles: 90.00 90.00 90.00
Fractional coordinates of all 5 atoms:
Te  0.000  0.000  0.500
Te  0.000  0.500  0.000
Te  0.500  0.000  0.000
B  0.000  0.000  0.000
Al  0.500  0.500  0.500